Density functional theory data (GGA-PBE) for a relaxed MnCdTc2Sb crystal.

## Properties
energy relative to the elements, uncorrected = 2205.7 meV per atom
V = 123.0 Å³/f.u.
mass density = 6.550 Mg/m³
E_tot = -4.782 eV per atom

Cell lengths 4.901, 4.901, 5.119 Å; angles 90.00, 90.00, 90.00 degrees
Positions (direct):
Mn: 0.000 0.000 0.000
Cd: 0.500 0.500 0.000
Tc: 0.000 0.500 0.500
Tc: 0.500 0.000 0.500
Sb: 0.500 0.500 0.500

Density functional theory data (GGA-PBE) for a relaxed AcNd2Lu crystal.

## Properties
V = 144.2 Å³/f.u.
mass density = 7.952 Mg/m³
E_tot = -4.491 eV per atom

Cell lengths 3.733, 3.733, 10.348 Å; angles 90.00, 90.00, 90.00 degrees
Positions (direct):
Ac: 0.000 0.000 0.000
Nd: 0.500 0.500 0.267
Nd: 0.500 0.500 0.733
Lu: 0.000 0.000 0.500

Density functional theory data (GGA-PBE) for a relaxed SrY3Os crystal.

## Properties
V = 143.5 Å³/f.u.
mass density = 6.299 Mg/m³
E_tot = -4.442 eV per atom

Cell lengths 5.236, 5.236, 5.236 Å; angles 90.00, 90.00, 90.00 degrees
Positions (direct):
Sr: 0.000 0.000 0.000
Y: 0.000 0.000 0.500
Y: 0.000 0.500 0.000
Y: 0.500 0.000 0.000
Os: 0.500 0.500 0.500

Density functional theory data (GGA-PBE) for a relaxed NdHgTe2 crystal.

## Properties
energy relative to the elements, uncorrected = -771.1 meV per atom
V = 171.0 Å³/f.u.
mass density = 5.828 Mg/m³
E_tot = -3.609 eV per atom

Cell lengths 9.667, 9.667, 9.667 Å; angles 27.58, 27.58, 27.58 degrees
Positions (direct):
Nd: 0.000 0.000 0.000
Hg: 0.500 0.500 0.500
Te: 0.396 0.396 0.396
Te: 0.604 0.604 0.604

Density functional theory data (GGA-PBE) for a relaxed Ho4HgSbSe2 crystal.

## Properties
energy relative to the elements, uncorrected = -1224.6 meV per atom
V = 209.0 Å³/f.u.
mass density = 9.058 Mg/m³
E_tot = -4.938 eV per atom

Cell lengths 7.087, 4.112, 7.549 Å; angles 90.00, 108.24, 90.00 degrees
Positions (direct):
Ho: 0.244 0.000 0.237
Ho: 0.251 0.500 0.765
Ho: 0.749 0.500 0.235
Ho: 0.756 0.000 0.763
Hg: 0.000 0.000 0.500
Sb: 0.500 0.500 0.500
Se: 0.000 0.500 0.000
Se: 0.500 0.000 0.000

Density functional theory data (GGA-PBE) for a relaxed MgZr2AlN crystal.

## Properties
energy relative to the elements, uncorrected = -701.3 meV per atom
V = 85.6 Å³/f.u.
mass density = 4.804 Mg/m³
E_tot = -6.853 eV per atom

Cell lengths 4.494, 4.494, 4.239 Å; angles 90.00, 90.00, 90.00 degrees
Positions (direct):
Mg: 0.000 0.000 0.000
Zr: 0.000 0.500 0.500
Zr: 0.500 0.000 0.500
Al: 0.500 0.500 0.000
N: 0.000 0.000 0.500

Density functional theory data (GGA-PBE) for a relaxed RbHg3Sb crystal.

## Properties
energy relative to the elements, uncorrected = -193.6 meV per atom
V = 164.2 Å³/f.u.
mass density = 8.179 Mg/m³
E_tot = -1.393 eV per atom

Cell lengths 7.014, 7.014, 7.254 Å; angles 90.00, 90.00, 112.99 degrees
Positions (direct):
Rb: 0.235 0.765 0.750
Rb: 0.765 0.235 0.250
Hg: 0.110 0.890 0.250
Hg: 0.267 0.267 0.000
Hg: 0.267 0.267 0.500
Hg: 0.733 0.733 0.000
Hg: 0.733 0.733 0.500
Hg: 0.890 0.110 0.750
Sb: 0.359 0.641 0.250
Sb: 0.641 0.359 0.750

Density functional theory data (GGA-PBE) for a relaxed LaPr2ScSb4 crystal.

## Properties
energy relative to the elements, uncorrected = -1108.6 meV per atom
V = 255.5 Å³/f.u.
mass density = 6.193 Mg/m³
E_tot = -5.772 eV per atom

Cell lengths 7.757, 4.496, 7.771 Å; angles 90.00, 109.48, 90.00 degrees
Positions (direct):
La: 0.000 0.000 0.000
Pr: 0.000 0.500 0.500
Pr: 0.500 0.000 0.500
Sc: 0.500 0.500 0.000
Sb: 0.260 0.500 0.243
Sb: 0.268 0.000 0.766
Sb: 0.732 0.000 0.234
Sb: 0.740 0.500 0.757

Density functional theory data (GGA-PBE) for a relaxed LaTi2Zn2 crystal.

## Properties
V = 104.7 Å³/f.u.
mass density = 5.794 Mg/m³
E_tot = -4.531 eV per atom

Cell lengths 6.556, 6.556, 6.556 Å; angles 142.28, 142.28, 54.40 degrees
Positions (direct):
La: 0.000 0.000 0.000
Ti: 0.385 0.385 0.000
Ti: 0.615 0.615 0.000
Zn: 0.250 0.750 0.500
Zn: 0.750 0.250 0.500

Density functional theory data (GGA-PBE) for a relaxed TiMnSe3 crystal.

## Properties
energy relative to the elements, uncorrected = -139.2 meV per atom
V = 120.5 Å³/f.u.
mass density = 4.680 Mg/m³
E_tot = -5.643 eV per atom

Cell lengths 4.940, 4.940, 4.940 Å; angles 90.00, 90.00, 90.00 degrees
Positions (direct):
Ti: 0.000 0.000 0.000
Mn: 0.500 0.500 0.500
Se: 0.000 0.000 0.500
Se: 0.000 0.500 0.000
Se: 0.500 0.000 0.000

Density functional theory data (GGA-PBE) for a relaxed CeYF2 crystal.

## Properties
energy relative to the elements, uncorrected = -2492.0 meV per atom
V = 87.8 Å³/f.u.
mass density = 5.050 Mg/m³
E_tot = -6.527 eV per atom

Cell lengths 6.543, 6.543, 6.543 Å; angles 36.29, 36.29, 36.29 degrees
Positions (direct):
Ce: 0.000 0.000 0.000
Y: 0.500 0.500 0.500
F: 0.372 0.372 0.372
F: 0.628 0.628 0.628

Density functional theory data (GGA-PBE) for a relaxed Y3Pd2Au crystal.

## Properties
V = 134.2 Å³/f.u.
mass density = 8.371 Mg/m³
E_tot = -6.374 eV per atom

Cell lengths 7.917, 7.917, 3.552 Å; angles 90.00, 90.00, 142.93 degrees
Positions (direct):
Y: 0.000 0.000 0.000
Y: 0.331 0.669 0.000
Y: 0.669 0.331 0.000
Pd: 0.167 0.833 0.500
Pd: 0.833 0.167 0.500
Au: 0.500 0.500 0.500

Density functional theory data (GGA-PBE) for a relaxed K2YRu crystal.

## Properties
V = 155.9 Å³/f.u.
mass density = 2.857 Mg/m³
E_tot = -4.157 eV per atom

Cell lengths 10.811, 10.811, 4.283 Å; angles 101.26, 101.26, 18.52 degrees
Positions (direct):
K: 0.152 0.152 0.149
K: 0.848 0.848 0.851
Y: 0.000 0.000 0.500
Ru: 0.500 0.500 0.000

Density functional theory data (GGA-PBE) for a relaxed LiCu2Au2 crystal.

## Properties
V = 80.5 Å³/f.u.
mass density = 10.891 Mg/m³
E_tot = -3.502 eV per atom

Cell lengths 7.547, 7.547, 2.827 Å; angles 90.00, 90.00, 90.00 degrees
Positions (direct):
Li: 0.000 0.000 0.000
Li: 0.500 0.500 0.000
Cu: 0.117 0.383 0.000
Cu: 0.383 0.883 0.000
Cu: 0.617 0.117 0.000
Cu: 0.883 0.617 0.000
Au: 0.179 0.679 0.500
Au: 0.321 0.179 0.500
Au: 0.679 0.821 0.500
Au: 0.821 0.321 0.500

Density functional theory data (GGA-PBE) for a relaxed TlCu4Cl7 crystal.

## Properties
energy relative to the elements, uncorrected = -605.7 meV per atom
V = 312.5 Å³/f.u.
mass density = 3.756 Mg/m³
E_tot = -3.245 eV per atom

Cell lengths 15.840, 6.321, 6.242 Å; angles 90.00, 90.00, 90.00 degrees
Positions (direct):
Tl: 0.000 0.138 0.000
Tl: 0.500 0.862 0.500
Cu: 0.120 0.661 0.508
Cu: 0.250 0.174 0.484
Cu: 0.250 0.826 0.984
Cu: 0.380 0.339 0.008
Cu: 0.620 0.339 0.008
Cu: 0.750 0.174 0.484
Cu: 0.750 0.826 0.984
Cu: 0.880 0.661 0.508
Cl: 0.000 0.811 0.377
Cl: 0.120 0.730 0.868
Cl: 0.122 0.315 0.416
Cl: 0.238 0.825 0.357
Cl: 0.262 0.175 0.857
Cl: 0.378 0.685 0.916
Cl: 0.380 0.270 0.368
Cl: 0.500 0.189 0.877
Cl: 0.620 0.270 0.368
Cl: 0.622 0.685 0.916
Cl: 0.738 0.175 0.857
Cl: 0.762 0.825 0.357
Cl: 0.878 0.315 0.416
Cl: 0.880 0.730 0.868

Density functional theory data (GGA-PBE) for a relaxed Bi2HPtAu crystal.

## Properties
V = 104.9 Å³/f.u.
mass density = 12.843 Mg/m³
E_tot = -4.079 eV per atom

Cell lengths 5.594, 5.594, 3.351 Å; angles 90.00, 90.00, 90.00 degrees
Positions (direct):
Bi: 0.000 0.500 0.000
Bi: 0.500 0.000 0.000
H: 0.000 0.000 0.500
Pt: 0.000 0.000 0.000
Au: 0.500 0.500 0.500

Density functional theory data (GGA-PBE) for a relaxed K2RbSeBr crystal.

## Properties
energy relative to the elements, uncorrected = -1183.9 meV per atom
V = 250.7 Å³/f.u.
mass density = 2.137 Mg/m³
E_tot = -2.848 eV per atom

Cell lengths 6.191, 6.191, 6.540 Å; angles 90.00, 90.00, 90.00 degrees
Positions (direct):
K: 0.000 0.500 0.000
K: 0.500 0.000 0.000
Rb: 0.000 0.000 0.500
Se: 0.000 0.000 0.000
Br: 0.500 0.500 0.500

Density functional theory data (GGA-PBE) for a relaxed Nd2Er7Th2 crystal.

## Properties
V = 359.7 Å³/f.u.
mass density = 8.880 Mg/m³
E_tot = -4.940 eV per atom

Cell lengths 8.106, 8.106, 5.988 Å; angles 106.47, 106.47, 91.20 degrees
Positions (direct):
Nd: 0.094 0.094 0.308
Nd: 0.906 0.906 0.692
Er: 0.091 0.562 0.327
Er: 0.269 0.269 0.919
Er: 0.438 0.909 0.673
Er: 0.500 0.500 0.500
Er: 0.562 0.091 0.327
Er: 0.731 0.731 0.081
Er: 0.909 0.438 0.673
Th: 0.293 0.707 0.000
Th: 0.707 0.293 0.000

Density functional theory data (GGA-PBE) for a relaxed La2Tb15Pm2 crystal.

## Properties
V = 650.9 Å³/f.u.
mass density = 7.530 Mg/m³
E_tot = -4.402 eV per atom

Cell lengths 8.778, 8.778, 8.778 Å; angles 80.40, 80.40, 80.40 degrees
Positions (direct):
La: 0.120 0.120 0.120
La: 0.880 0.880 0.880
Tb: 0.000 0.000 0.500
Tb: 0.000 0.303 0.697
Tb: 0.000 0.500 0.000
Tb: 0.000 0.697 0.303
Tb: 0.155 0.631 0.631
Tb: 0.303 0.000 0.697
Tb: 0.303 0.697 0.000
Tb: 0.369 0.369 0.845
Tb: 0.369 0.845 0.369
Tb: 0.500 0.000 0.000
Tb: 0.631 0.155 0.631
Tb: 0.631 0.631 0.155
Tb: 0.697 0.000 0.303
Tb: 0.697 0.303 0.000
Tb: 0.845 0.369 0.369
Pm: 0.333 0.333 0.333
Pm: 0.667 0.667 0.667

Density functional theory data (GGA-PBE) for a relaxed NdTm3Tl crystal.

## Properties
V = 146.9 Å³/f.u.
mass density = 9.668 Mg/m³
E_tot = -4.214 eV per atom

Cell lengths 12.891, 12.891, 4.796 Å; angles 90.00, 90.00, 158.37 degrees
Positions (direct):
Nd: 0.147 0.853 0.750
Nd: 0.853 0.147 0.250
Tm: 0.046 0.954 0.250
Tm: 0.251 0.749 0.250
Tm: 0.450 0.550 0.250
Tm: 0.550 0.450 0.750
Tm: 0.749 0.251 0.750
Tm: 0.954 0.046 0.750
Tl: 0.346 0.654 0.750
Tl: 0.654 0.346 0.250